# 1
PBE with a Hubbard U LiDy2FeO5, relaxed; uncorrected energy = -131.0 eV for the cell shown; space group = No. 36; crystal system = orthorhombic
1.0
1.6575 -6.6949 0.0000
1.6575 6.6949 0.0000
0.0000 0.0000 9.1047
Li Dy Fe O
2 4 2 10
Cartesian
1.6575 3.6752 4.5524
1.6575 -3.6752 0.0000
1.6575 5.0346 7.2864
1.6575 4.9993 1.6352
1.6575 -4.9993 6.1875
1.6575 -5.0346 2.7341
1.6575 1.0290 8.9373
1.6575 -1.0290 4.3849
1.6575 6.2365 5.1089
1.6575 2.6202 7.7211
1.6575 2.5620 1.3641
1.6575 1.8594 4.5698
1.6575 0.1158 7.1852
1.6575 -0.1158 2.6329
1.6575 -1.8594 0.0175
1.6575 -2.5620 5.9165
1.6575 -2.6202 3.1688
1.6575 -6.2365 0.5565

---

# 2
PBE with a Hubbard U ErV2AgO8, relaxed; uncorrected energy = -82.9 eV for the cell shown; space group = No. 164; crystal system = trigonal
1.0
5.8555 0.0000 0.0000
-2.9278 5.0710 0.0000
0.0000 0.0000 6.1214
Er V Ag O
1 2 1 8
Cartesian
0.0000 0.0000 0.0000
0.0000 3.3807 4.0924
2.9278 1.6903 2.0290
0.0000 0.0000 3.0607
0.0000 1.6671 4.6215
-1.4840 4.2375 4.6215
1.4438 0.8336 1.4999
0.0000 3.3807 2.4572
2.9278 1.6903 3.6642
1.4840 4.2375 4.6215
4.4118 0.8336 1.4999
2.9278 3.4039 1.4999